Tl2BiAuC: optimized geometry, PBE.

Structure (POSCAR):
```
Tl2BiAuC
1.0
5.7820 0.0000 0.0000
0.0000 5.7820 0.0000
0.0000 0.0000 3.8940
Tl Bi Au C
2 1 1 1
direct
0.0000 0.5000 0.0000
0.5000 0.0000 0.0000
0.0000 0.0000 0.5000
0.5000 0.5000 0.5000
0.5000 0.5000 0.0000
```

Results
Spin magnetization = 0.000 μB per atom
Final energy = -3.5040 eV per atom

---

Tm5Bi2AuC: optimized geometry, PBE.

Structure (POSCAR):
```
Tm5Bi2AuC
1.0
4.6439 0.0000 0.0000
0.0000 4.6439 0.0000
0.0000 0.0000 10.8388
Tm Bi Au C
5 2 1 1
direct
0.0000 0.0000 0.0000
0.0000 0.5000 0.5000
0.5000 0.0000 0.5000
0.5000 0.5000 0.2625
0.5000 0.5000 0.7375
0.0000 0.0000 0.2889
0.0000 0.0000 0.7111
0.5000 0.5000 0.0000
0.5000 0.5000 0.5000
```

Results
Spin magnetization = 0.000 μB per atom
Final energy = -5.2826 eV per atom